(1)
Ga2ReIr PBE relaxed; VASP energy = -0.483 Ry/atom; size of the total moment = 0.0 μB per cell; space group = F-43m, No. 216
1.0
0.0000 3.1101 3.1101
3.1101 0.0000 3.1101
3.1101 3.1101 0.0000
Ga Re Ir
2 1 1
Direct
0.0000 0.0000 0.0000
0.2500 0.2500 0.2500
0.5000 0.5000 0.5000
0.7500 0.7500 0.7500



(2)
GaReIr2 PBE relaxed; VASP energy = -0.598 Ry/atom; size of the total moment = 0.0 μB per cell; space group = F-43m, No. 216
1.0
0.0000 3.0888 3.0888
3.0888 0.0000 3.0888
3.0888 3.0888 0.0000
Ga Re Ir
1 1 2
Direct
0.0000 0.0000 0.0000
0.2500 0.2500 0.2500
0.5000 0.5000 0.5000
0.7500 0.7500 0.7500